# SbPPb2

A relaxed SbPPb2 crystal (GGA-PBE, Alexandria).

The structure in POSCAR format:
```
SbPPb2
1.0
6.469 0.000 0.000
0.000 8.227 0.000
0.000 0.000 4.101
Sb P Pb
2 2 4
Cartesian
0.000 0.000 0.000 Sb
3.234 4.114 0.000 Sb
0.000 4.114 0.000 P
3.234 0.000 0.000 P
1.617 2.057 2.051 Pb
1.617 6.171 2.051 Pb
4.852 2.057 2.051 Pb
4.852 6.171 2.051 Pb
```

Properties
ΔE to the lowest computed polymorph   0.175 eV/atom
DOS at the Fermi energy   2.61 states/eV/f.u.
Total magnetic moment   0.00 μB per cell
Energy   -0.1450 Ha/atom

---

# YGe2Bi

A relaxed YGe2Bi crystal (GGA-PBE, Alexandria).

The structure in POSCAR format:
```
YGe2Bi
1.0
8.141 0.000 0.000
0.000 8.141 0.000
0.000 0.000 6.220
Y Ge Bi
4 8 4
Cartesian
0.000 0.000 0.000 Y
0.000 4.070 1.555 Y
4.070 0.000 4.665 Y
4.070 4.070 3.110 Y
2.025 2.035 3.887 Ge
2.035 6.096 5.442 Ge
2.035 6.115 2.332 Ge
2.045 2.035 0.777 Ge
6.096 6.106 0.777 Ge
6.106 2.025 2.332 Ge
6.106 2.045 5.442 Ge
6.115 6.106 3.887 Ge
0.000 0.000 3.110 Bi
0.000 4.070 4.665 Bi
4.070 0.000 1.555 Bi
4.070 4.070 0.000 Bi
```

Properties
DOS at the Fermi energy   3.15 states/eV/f.u.
Total magnetic moment   0.00 μB per cell
Energy relative to the elements   -0.117 eV per atom
Energy   -0.1842 Ha/atom

---

# LiLaZnSn2

A relaxed LiLaZnSn2 crystal (GGA-PBE, Alexandria).

The structure in POSCAR format:
```
LiLaZnSn2
1.0
4.502 0.000 0.000
0.000 4.502 0.000
0.000 0.000 11.835
Li La Zn Sn
2 2 2 4
Cartesian
0.000 0.000 0.000 Li
2.251 2.251 5.917 Li
0.000 2.251 8.876 La
2.251 0.000 2.959 La
0.000 0.000 5.917 Zn
2.251 2.251 0.000 Zn
0.000 2.251 1.534 Sn
0.000 2.251 4.383 Sn
2.251 0.000 7.451 Sn
2.251 0.000 10.301 Sn
```

Properties
DOS at the Fermi energy   2.93 states/eV/f.u.
Total magnetic moment   0.00 μB per cell
Energy relative to the elements   -0.505 eV per atom
Energy   -0.1370 Ha/atom

---

# Li3Cd12Hg

A relaxed Li3Cd12Hg crystal (GGA-PBE, Alexandria).

The structure in POSCAR format:
```
Li3Cd12Hg
1.0
4.344 0.000 0.000
0.000 4.344 0.000
0.000 0.000 18.012
Li Cd Hg
3 12 1
Cartesian
0.000 0.000 0.000 Li
0.000 0.000 4.395 Li
0.000 0.000 13.616 Li
0.000 2.172 2.207 Cd
0.000 2.172 6.615 Cd
0.000 2.172 11.396 Cd
0.000 2.172 15.805 Cd
2.172 0.000 2.207 Cd
2.172 0.000 6.615 Cd
2.172 0.000 11.396 Cd
2.172 0.000 15.805 Cd
2.172 2.172 0.000 Cd
2.172 2.172 4.424 Cd
2.172 2.172 9.006 Cd
2.172 2.172 13.588 Cd
0.000 0.000 9.006 Hg
```

Properties
DOS at the Fermi energy   6.22 states/eV/f.u.
Total magnetic moment   0.00 μB per cell
Energy relative to the elements   -0.111 eV per atom
Energy   -0.0432 Ha/atom

---

# Dy9Ho2In

A relaxed Dy9Ho2In crystal (GGA-PBE, Alexandria).

The structure in POSCAR format:
```
Dy9Ho2In
1.0
4.930 0.000 0.000
0.000 4.930 0.000
0.000 0.000 15.036
Dy Ho In
9 2 1
Cartesian
0.000 0.000 0.000 Dy
0.000 0.000 4.943 Dy
0.000 0.000 10.092 Dy
0.000 2.465 2.437 Dy
0.000 2.465 7.518 Dy
0.000 2.465 12.599 Dy
2.465 0.000 2.437 Dy
2.465 0.000 7.518 Dy
2.465 0.000 12.599 Dy
2.465 2.465 4.997 Ho
2.465 2.465 10.038 Ho
2.465 2.465 0.000 In
```

Properties
DOS at the Fermi energy   14.62 states/eV/f.u.
Total magnetic moment   0.00 μB per cell
Energy relative to the elements   -0.069 eV per atom
Energy   -0.1658 Ha/atom

---

# Dy2ErIn3S6

A relaxed Dy2ErIn3S6 crystal (GGA-PBE, Alexandria).

The structure in POSCAR format:
```
Dy2ErIn3S6
1.0
3.447 -5.972 0.000
3.447 5.972 0.000
-2.296 0.000 7.513
Dy Er In S
2 1 3 6
Cartesian
3.447 3.981 0.000 Dy
3.447 -3.981 0.000 Dy
3.447 0.000 0.000 Er
-1.148 0.000 3.757 In
2.299 1.995 3.757 In
2.299 -1.995 3.757 In
0.009 1.977 6.009 S
1.165 0.000 1.509 S
0.009 -1.977 6.009 S
4.589 1.977 1.504 S
3.433 0.000 6.004 S
4.589 -1.977 1.504 S
```

Properties
Total magnetic moment   0.00 μB per cell
Energy   -0.1948 Ha/atom

---

# Ca4InNi

A relaxed Ca4InNi crystal (GGA-PBE, Alexandria).

The structure in POSCAR format:
```
Ca4InNi
1.0
1.862 -11.133 0.000
1.862 11.133 0.000
0.000 0.000 8.937
Ca In Ni
8 2 2
Cartesian
0.000 0.000 0.000 Ca
0.000 0.000 4.469 Ca
1.862 7.496 4.909 Ca
1.862 7.496 8.497 Ca
1.862 1.768 6.703 Ca
1.862 -1.768 2.234 Ca
1.862 -7.496 0.440 Ca
1.862 -7.496 4.029 Ca
1.862 4.814 6.703 In
1.862 -4.814 2.234 In
1.862 1.249 2.234 Ni
1.862 -1.249 6.703 Ni
```

Properties
ΔE to the lowest computed polymorph   0.236 eV/atom
DOS at the Fermi energy   4.95 states/eV/f.u.
Total magnetic moment   0.00 μB per cell
Energy relative to the elements   0.030 eV per atom
Energy   -0.1001 Ha/atom

---

# TeP2Pt

A relaxed TeP2Pt crystal (GGA-PBE, Alexandria).

The structure in POSCAR format:
```
TeP2Pt
1.0
3.223 0.000 0.000
0.000 3.223 0.000
0.000 0.000 8.830
Te P Pt
1 2 1
Cartesian
0.000 0.000 0.000 Te
1.612 1.612 3.254 P
1.612 1.612 5.576 P
0.000 0.000 4.415 Pt
```

Properties
DOS at the Fermi energy   2.39 states/eV/f.u.
Total magnetic moment   0.00 μB per cell
Energy   -0.1753 Ha/atom

---

# La6NdHo5

A relaxed La6NdHo5 crystal (GGA-PBE, Alexandria).

The structure in POSCAR format:
```
La6NdHo5
1.0
-2.980 3.888 8.953
2.980 -3.888 8.953
2.980 3.888 -8.953
La Nd Ho
6 1 5
Cartesian
2.980 1.912 -3.037 La
0.000 1.865 0.000 La
2.980 1.912 3.037 La
0.000 1.976 5.915 La
0.000 5.912 0.000 La
0.000 1.976 11.990 La
0.000 0.000 8.953 Nd
2.980 0.000 0.000 Ho
0.000 0.000 2.988 Ho
2.980 0.000 6.006 Ho
0.000 3.888 2.947 Ho
0.000 0.000 14.917 Ho
```

Properties
ΔE to the lowest computed polymorph   0.057 eV/atom
DOS at the Fermi energy   19.60 states/eV/f.u.
Total magnetic moment   0.00 μB per cell
Energy relative to the elements   0.080 eV per atom
Energy   -0.1723 Ha/atom

---

# Zn8Mo

A relaxed Zn8Mo crystal (GGA-PBE, Alexandria).

The structure in POSCAR format:
```
Zn8Mo
1.0
-4.168 4.168 1.904
4.168 -4.168 1.904
4.168 4.168 -1.904
Zn Mo
8 1
Cartesian
2.789 0.000 0.000 Zn
5.548 0.000 0.000 Zn
2.759 2.759 0.000 Zn
1.409 -1.409 1.904 Zn
0.000 2.789 0.000 Zn
0.000 5.548 0.000 Zn
-1.409 1.409 1.904 Zn
1.409 1.409 1.904 Zn
0.000 0.000 0.000 Mo
```

Properties
DOS at the Fermi energy   3.72 states/eV/f.u.
Total magnetic moment   0.00 μB per cell
Energy relative to the elements   0.076 eV per atom
Energy   -0.0831 Ha/atom

---

# Al2FeRe

A relaxed Al2FeRe crystal (GGA-PBE, Alexandria).

The structure in POSCAR format:
```
Al2FeRe
1.0
3.058 0.000 0.000
0.000 3.058 0.000
0.000 0.000 5.774
Al Fe Re
2 1 1
Cartesian
0.000 0.000 0.000 Al
1.529 1.529 1.602 Al
0.000 0.000 2.841 Fe
1.529 1.529 4.326 Re
```

Properties
ΔE to the lowest computed polymorph   0.000 eV/atom
DOS at the Fermi energy   1.98 states/eV/f.u.
Total magnetic moment   1.25 μB per cell
Energy relative to the elements   -0.179 eV per atom
Energy   -0.2675 Ha/atom

---

# KRbCo2

A relaxed KRbCo2 crystal (GGA-PBE, Alexandria).

The structure in POSCAR format:
```
KRbCo2
1.0
8.099 0.000 0.000
0.000 8.099 0.000
0.000 0.000 8.099
K Rb Co
4 4 8
Cartesian
0.000 0.000 0.000 K
0.000 4.050 4.050 K
4.050 0.000 4.050 K
4.050 4.050 0.000 K
0.000 0.000 4.050 Rb
0.000 4.050 0.000 Rb
4.050 0.000 0.000 Rb
4.050 4.050 4.050 Rb
2.025 2.025 2.025 Co
2.025 2.025 6.074 Co
2.025 6.074 2.025 Co
2.025 6.074 6.074 Co
6.074 2.025 2.025 Co
6.074 2.025 6.074 Co
6.074 6.074 2.025 Co
6.074 6.074 6.074 Co
```

Properties
ΔE to the lowest computed polymorph   0.119 eV/atom
DOS at the Fermi energy   29.28 states/eV/f.u.
Total magnetic moment   15.87 μB per cell
Energy relative to the elements   1.556 eV per atom
Energy   -0.0923 Ha/atom

---

Q: Among the records above, which one has the highest energy?
A: Li3Cd12Hg

---

Q: Look up the total magnetic moment of the fourth one.
A: 0.00 μB per cell

---

Q: Which formula does entry 7 have?
A: Ca4InNi